Here is a relaxed RbPuAg2I6 crystal from the Alexandria database. Energies are from PBE.

Results
The calculation puts the density of states at the Fermi level at 10.8 states/eV/f.u. For the uncorrected formation energy, the calculation gives -0.81 eV per atom. Its space-group type is C2/c.

a = 10.6064 Å, b = 10.6064 Å, c = 9.6181 Å
α = 107.87°, β = 107.87°, γ = 80.59°
Closest atoms and distances in Å follow each position.
Element x y z (fractional)
1 Rb 0.1704 0.8296 0.7500  6 I 3.70-4.05
2 Rb 0.8296 0.1704 0.2500  6 I 3.70-4.05
3 Pu 0.2464 0.7536 0.2500  6 I 3.09-3.18
4 Pu 0.7536 0.2464 0.7500  6 I 3.09-3.18
5 Ag 0.1220 0.4277 0.0903  3 I 2.75-2.80
6 Ag 0.4277 0.1220 0.5903  3 I 2.75-2.80
7 Ag 0.5723 0.8780 0.4097  3 I 2.75-2.80
8 Ag 0.8780 0.5723 0.9097  3 I 2.75-2.80
9 I 0.0241 0.1798 0.9838  1 Ag 2.76
10 I 0.0841 0.6026 0.3617  1 Ag 2.80, 1 Pu 3.13
11 I 0.1798 0.0241 0.4838  1 Ag 2.76
12 I 0.3001 0.5142 0.9898  1 Ag 2.75
13 I 0.3974 0.9159 0.1383  1 Ag 2.80, 1 Pu 3.13
14 I 0.4858 0.6999 0.5102  1 Ag 2.75
15 I 0.5142 0.3001 0.4898  1 Ag 2.75
16 I 0.6026 0.0841 0.8617  1 Ag 2.80, 1 Pu 3.13
17 I 0.6999 0.4858 0.0102  1 Ag 2.75
18 I 0.8202 0.9759 0.5162  1 Ag 2.76
19 I 0.9159 0.3974 0.6383  1 Ag 2.80, 1 Pu 3.13
20 I 0.9759 0.8202 0.0162  1 Ag 2.76